Record 1
Y2CrBr at its PBEsol-relaxed geometry, computed with SCAN.

```
Y2CrBr
1.0
3.5167 0.0000 0.0000
1.7583 3.0455 0.0000
1.7583 1.0152 9.6869
Y Cr Br
2 1 1
direct
0.9945 0.9945 0.0164
0.7597 0.7597 0.7210
0.2471 0.2471 0.2588
0.4988 0.4988 0.5037
```

Formation energy without anion corrections = -294 meV per atom

Record 2
Fe3Rh4 at its PBEsol-relaxed geometry, computed with SCAN.

```
Fe3Rh4
1.0
-0.6400 2.5442 -0.4024
-0.4408 -0.5167 -2.5658
-11.3129 -3.5916 4.0396
Rh Fe
4 3
direct
0.1480 0.1480 0.2960
0.8520 0.8520 0.7040
0.5701 0.5701 0.1402
0.4299 0.4299 0.8598
0.0000 0.0000 0.0000
0.2825 0.2825 0.5650
0.7175 0.7175 0.4350
```

Formation energy from the elements = -5.40 kJ per mole of atoms

Record 3
ScAuSN2 at its PBEsol-relaxed geometry, computed with SCAN.

```
ScAuSN2
1.0
-3.2204 1.4541 -1.7823
-0.4423 -3.4007 -1.9753
-2.7426 -1.7109 3.5596
N S Au Sc
2 1 1 1
direct
0.5000 0.0000 0.0000
0.0000 0.5000 0.0000
0.0000 0.0000 0.5000
0.0000 0.0000 0.0000
0.5000 0.5000 0.5000
```

Formation energy without anion corrections = 814 meV per atom